First-principles (PBE-GGA) data for Zr3Be2 after structural relaxation, as listed in Alexandria.

Its total energy is -6.396 eV/atom. As for the formation energy from the elements: 223 meV/atom. The volume comes out at 18.69 A^3/atom. Its space-group type is R-3m (166).

Geometry as POSCAR:
```
Zr3Be2
1.0
-4.085 -4.375 -8.250
-1.075 -5.675 -8.398
-3.375 -7.072 -6.519
Be Zr
2 3
Direct
0.394 0.394 0.394 Be
0.606 0.606 0.606 Be
0.212 0.212 0.212 Zr
0.000 0.000 0.000 Zr
0.788 0.788 0.788 Zr
```